(1)
Entry from the Alexandria database: crystalline HfZr2ScC at its relaxed geometry (PBE).

Structure (CIF):
```
data_HfZr2ScC
_chemical_formula_sum 'Hf1 Zr2 Sc1 C1'
_cell_length_a 4.653
_cell_length_b 4.653
_cell_length_c 4.537
_cell_angle_alpha 90.00
_cell_angle_beta 90.00
_cell_angle_gamma 90.00
_space_group_name_H-M_alt 'P 4/m m m'
_space_group_IT_number 123
_space_group_name_Hall '-P 4 2'
loop_
_atom_site_label
_atom_site_type_symbol
_atom_site_fract_x
_atom_site_fract_y
_atom_site_fract_z
_atom_site_occupancy
Hf1 Hf 0.000 0.000 0.000 1
Zr1 Zr 0.000 0.500 0.500 1
Sc1 Sc 0.500 0.500 0.000 1
C1 C 0.500 0.500 0.500 1
```

Values from the calculation:
ΔH_f (0 K), meV/atom: -153
Total energy, eV/atom: -8.67
N(E_F), states/eV/cell: 7.52
ΔE to the lowest computed polymorph, meV/atom: 107

(2)
Entry from the Alexandria database: crystalline Hf2CSe at its relaxed geometry (PBE).

Structure (CIF):
```
data_Hf2CSe
_chemical_formula_sum 'Hf8 C4 Se4'
_cell_length_a 5.550
_cell_length_b 5.550
_cell_length_c 10.627
_cell_angle_alpha 90.00
_cell_angle_beta 90.00
_cell_angle_gamma 90.00
_space_group_name_H-M_alt 'I -4 2 d'
_space_group_IT_number 122
_space_group_name_Hall 'I -4 2bw'
loop_
_atom_site_label
_atom_site_type_symbol
_atom_site_fract_x
_atom_site_fract_y
_atom_site_fract_z
_atom_site_occupancy
Hf1 Hf 0.176 0.250 0.125 1
C1 C 0.000 0.000 0.000 1
Se1 Se 0.000 0.000 0.500 1
```

Values from the calculation:
Total energy, eV/atom: -8.71
Formation energy from raw total energies, meV/atom: -554
N(E_F), states/eV/cell: 7.55

(3)
Entry from the Alexandria database: crystalline Hf8CSe2 at its relaxed geometry (PBE).

Structure (CIF):
```
data_Hf8CSe2
_chemical_formula_sum 'Hf16 C2 Se4'
_cell_length_a 10.597
_cell_length_b 7.260
_cell_length_c 6.095
_cell_angle_alpha 90.00
_cell_angle_beta 104.26
_cell_angle_gamma 90.00
_space_group_name_H-M_alt 'C 1 2/m 1'
_space_group_IT_number 12
_space_group_name_Hall '-C 2y'
loop_
_atom_site_label
_atom_site_type_symbol
_atom_site_fract_x
_atom_site_fract_y
_atom_site_fract_z
_atom_site_occupancy
Hf1 Hf 0.068 0.000 0.285 1
Hf2 Hf 0.100 0.500 0.222 1
Hf3 Hf 0.141 0.287 0.669 1
C1 C 0.000 0.500 0.500 1
Se1 Se 0.200 0.000 0.973 1
```

Values from the calculation:
Total energy, eV/atom: -9.16
Formation energy from raw total energies, meV/atom: -454
N(E_F), states/eV/cell: 12.68

(4)
Entry from the Alexandria database: crystalline Hf2CSe at its relaxed geometry (PBE).

Structure (CIF):
```
data_Hf2CSe
_chemical_formula_sum 'Hf4 C2 Se2'
_cell_length_a 6.180
_cell_length_b 3.568
_cell_length_c 7.214
_cell_angle_alpha 90.00
_cell_angle_beta 90.07
_cell_angle_gamma 90.00
_space_group_name_H-M_alt 'C 1 m 1'
_space_group_IT_number 8
_space_group_name_Hall 'C -2y'
loop_
_atom_site_label
_atom_site_type_symbol
_atom_site_fract_x
_atom_site_fract_y
_atom_site_fract_z
_atom_site_occupancy
Hf1 Hf 0.000 0.000 0.000 1
Hf2 Hf 0.167 0.500 0.381 1
C1 C 0.167 0.500 0.087 1
Se1 Se 0.001 0.000 0.628 1
```

Values from the calculation:
Total energy, eV/atom: -8.73
Formation energy from raw total energies, meV/atom: -581
N(E_F), states/eV/cell: 4.19

(5)
Entry from the Alexandria database: crystalline Hf4CSe2 at its relaxed geometry (PBE).

Structure (CIF):
```
data_Hf4CSe2
_chemical_formula_sum 'Hf8 C2 Se4'
_cell_length_a 4.508
_cell_length_b 4.508
_cell_length_c 13.240
_cell_angle_alpha 90.00
_cell_angle_beta 90.00
_cell_angle_gamma 90.00
_space_group_name_H-M_alt 'I 4/m m m'
_space_group_IT_number 139
_space_group_name_Hall '-I 4 2'
loop_
_atom_site_label
_atom_site_type_symbol
_atom_site_fract_x
_atom_site_fract_y
_atom_site_fract_z
_atom_site_occupancy
Hf1 Hf 0.000 0.000 0.170 1
Hf2 Hf 0.000 0.500 0.000 1
C1 C 0.000 0.000 0.000 1
Se1 Se 0.000 0.000 0.374 1
```

Values from the calculation:
Total energy, eV/atom: -8.39
Formation energy from raw total energies, meV/atom: -394
N(E_F), states/eV/cell: 12.83

(6)
Entry from the Alexandria database: crystalline Hf2CSe at its relaxed geometry (PBE).

Structure (CIF):
```
data_Hf2CSe
_chemical_formula_sum 'Hf6 C3 Se3'
_cell_length_a 3.4564
_cell_length_b 3.4564
_cell_length_c 18.8143
_cell_angle_alpha 90.00
_cell_angle_beta 90.00
_cell_angle_gamma 120.00
_space_group_name_H-M_alt 'R -3 m'
_space_group_IT_number 166
_space_group_name_Hall '-R 3 2"'
loop_
_atom_site_label
_atom_site_type_symbol
_atom_site_fract_x
_atom_site_fract_y
_atom_site_fract_z
_atom_site_occupancy
Hf1 Hf 0.0000 0.0000 0.2280 1
C1 C 0.0000 0.0000 0.5000 1
Se1 Se 0.0000 0.0000 0.0000 1
```

Values from the calculation:
Total energy, eV/atom: -9.24
Formation energy from raw total energies, meV/atom: -1091
N(E_F), states/eV/cell: 2.77

Q: Among the records above, which one has the lowest N(E_F)?
A: number 6

Q: total energy of number 5 (Hf4CSe2)?
A: -8.39 eV/atom

Q: Among the records above, which one has the lowest total energy?
A: number 6

Q: Which of these has the highest total energy?
A: Hf4CSe2